No. 1
This record from Alexandria via LeMat-Bulk describes a relaxed structure of Co2SbP. The functional is PBE. Values from VASP.

The structure in Quantum ESPRESSO input format:
```
&SYSTEM
  ibrav = 0, nat = 4, ntyp = 3
/
ATOMIC_SPECIES
P 30.97 P.upf
Sb 121.76 Sb.upf
Co 58.93 Co.upf
CELL_PARAMETERS angstrom
4.1226 0.0114 -0.0028
-0.0109 4.1226 -0.0028
0.0024 0.0024 3.2653
ATOMIC_POSITIONS crystal
P 0.5000 0.0000 0.5000
Sb 0.0000 0.5000 0.5000
Co 0.0000 0.0000 0.0000
Co 0.5000 0.5000 0.0000
```

Properties
Relative energy among the computed polymorphs ... 44.6 kJ per mole of atoms
E_form (uncorrected) ... 243 meV/atom
DOS(E_F) ... 4.1 states/eV per cell
Space group ... No. 123
Raw total energy ... -0.4184 Ry per atom

No. 2
This record from Alexandria via LeMat-Bulk describes a relaxed structure of CeCoCuGe2. The functional is PBE. Values from VASP.

The structure in Quantum ESPRESSO input format:
```
&SYSTEM
  ibrav = 0, nat = 5, ntyp = 4
/
ATOMIC_SPECIES
Ge 72.64 Ge.upf
Ce 140.12 Ce.upf
Co 58.93 Co.upf
Cu 63.55 Cu.upf
CELL_PARAMETERS angstrom
-0.1042 -1.9057 -3.6653
3.8830 1.2065 -0.7376
-0.1833 -3.8394 4.3310
ATOMIC_POSITIONS crystal
Ge 0.3727 0.3727 0.7454
Ge 0.6273 0.6273 0.2546
Ce 0.0000 0.0000 0.0000
Co 0.7500 0.2500 0.5000
Cu 0.2500 0.7500 0.5000
```

Properties
DOS(E_F) ... 6.5 states/eV per cell
Energy relative to the elements ... -0.494 eV/atom
Space group ... No. 119
Raw total energy ... -0.4240 Ry per atom

No. 3
This record from Alexandria via LeMat-Bulk describes a relaxed structure of Zn2GaGeOs. The functional is PBE. Values from VASP.

The structure in Quantum ESPRESSO input format:
```
&SYSTEM
  ibrav = 0, nat = 5, ntyp = 4
/
ATOMIC_SPECIES
Ge 72.64 Ge.upf
Zn 65.41 Zn.upf
Ga 69.72 Ga.upf
Os 190.23 Os.upf
CELL_PARAMETERS angstrom
-1.5012 -3.9808 -2.2704
1.7269 -2.6592 3.5208
-4.2323 0.2880 2.2934
ATOMIC_POSITIONS crystal
Ge 0.5000 0.5000 0.5000
Zn 0.0000 0.0000 0.5000
Zn 0.5000 0.0000 0.0000
Ga 0.0000 0.5000 0.0000
Os 0.0000 0.0000 0.0000
```

Properties
DOS(E_F) ... 2.8 states/eV per cell
Energy relative to the elements ... 0.601 eV/atom
Space group ... No. 123
Raw total energy ... -0.2707 Ry per atom

No. 4
This record from Alexandria via LeMat-Bulk describes a relaxed structure of RePb2Cl. The functional is PBE. Values from VASP.

The structure in Quantum ESPRESSO input format:
```
&SYSTEM
  ibrav = 0, nat = 4, ntyp = 3
/
ATOMIC_SPECIES
Re 186.21 Re.upf
Cl 35.45 Cl.upf
Pb 207.20 Pb.upf
CELL_PARAMETERS angstrom
-5.7928 4.4905 -1.5359
-6.6449 3.2158 1.2587
2.0583 3.4138 2.1848
ATOMIC_POSITIONS crystal
Re 0.4764 0.4764 0.6242
Cl 0.2145 0.2145 0.1260
Pb 0.8036 0.8036 0.6256
Pb 0.0055 0.0055 0.1241
```

Properties
Relative energy among the computed polymorphs ... 4.7 kJ per mole of atoms
E_form (uncorrected) ... 495 meV/atom
DOS(E_F) ... 3.3 states/eV per cell
Space group ... No. 8
Raw total energy ... -0.3626 Ry per atom